# 1
Mo2Ir3Os3: optimized geometry, GGA-PBE.

Properties
ΔE to the lowest computed polymorph ... 0.0 kJ per mole of atoms
ΔH_f (0 K) ... -240 meV/atom

Structure (CIF):
```
data_Mo2Ir3Os3
_chemical_formula_sum 'Mo2 Ir3 Os3'
_cell_length_a 5.5207
_cell_length_b 4.4041
_cell_length_c 5.5383
_cell_angle_alpha 90.00
_cell_angle_beta 119.79
_cell_angle_gamma 90.00
_space_group_name_H-M_alt 'P 1 m 1'
_space_group_IT_number 6
_space_group_name_Hall 'P -2y'
loop_
_atom_site_label
_atom_site_type_symbol
_atom_site_fract_x
_atom_site_fract_y
_atom_site_fract_z
Mo1 Mo 0.0000 0.0000 0.0000
Mo2 Mo 0.3323 0.5000 0.6722
Ir1 Ir 0.5019 0.0000 0.5043
Ir2 Ir 0.8318 0.5000 0.1705
Ir3 Ir 0.9969 0.0000 0.5032
Os1 Os 0.3336 0.5000 0.1657
Os2 Os 0.4979 0.0000 0.0033
Os3 Os 0.8337 0.5000 0.6675
```


# 2
Co2MoAs2: optimized geometry, GGA-PBE.

Properties
Uncorrected energy ... -33.7 eV per formula unit

Structure (CIF):
```
data_Co2MoAs2
_chemical_formula_sum 'Co4 Mo2 As4'
_cell_length_a 4.0245
_cell_length_b 4.0245
_cell_length_c 8.7486
_cell_angle_alpha 90.00
_cell_angle_beta 90.00
_cell_angle_gamma 90.00
_space_group_name_H-M_alt 'P 4/n m m'
_space_group_IT_number 129
loop_
_space_group_symop_operation_xyz
'x,y,z'
'-x,-y,-z'
'-y+1/2,x,z'
'y+1/2,-x,-z'
'-x+1/2,-y+1/2,z'
'x+1/2,y+1/2,-z'
'y,-x+1/2,z'
'-y,x+1/2,-z'
'x+1/2,-y,-z'
'-x+1/2,y,z'
'-y,-x,-z'
'y,x,z'
'-x,y+1/2,-z'
'x,-y+1/2,z'
'y+1/2,x+1/2,-z'
'-y+1/2,-x+1/2,z'
loop_
_atom_site_label
_atom_site_type_symbol
_atom_site_fract_x
_atom_site_fract_y
_atom_site_fract_z
Co1 Co 0.2500 0.2500 0.1227
Co2 Co 0.2500 0.7500 0.5000
Mo1 Mo 0.2500 0.2500 0.7794
As1 As 0.2500 0.2500 0.3702
As2 As 0.2500 0.7500 0.0000
```


# 3
AlTcB4: optimized geometry, GGA-PBE.

Properties
ΔE to the lowest computed polymorph ... 0.0 kJ per mole of atoms

Structure (CIF):
```
data_AlTcB4
_chemical_formula_sum 'Al2 Tc2 B8'
_cell_length_a 2.9727
_cell_length_b 5.1477
_cell_length_c 6.6790
_cell_angle_alpha 90.00
_cell_angle_beta 90.00
_cell_angle_gamma 90.00
_space_group_name_H-M_alt 'I m m m'
_space_group_IT_number 71
_space_group_name_Hall '-I 2 2'
loop_
_atom_site_label
_atom_site_type_symbol
_atom_site_fract_x
_atom_site_fract_y
_atom_site_fract_z
Al1 Al 0.0000 0.0000 0.0000
Tc1 Tc 0.0000 0.0000 0.5000
B1 B 0.0000 0.3353 0.2565
```


# 4
ZnI2: optimized geometry, GGA-PBE.

Properties
Uncorrected energy ... -6.1 eV per formula unit

Structure (CIF):
```
data_ZnI2
_chemical_formula_sum 'Zn32 I64'
_cell_length_a 12.6289
_cell_length_b 12.6289
_cell_length_c 23.9591
_cell_angle_alpha 90.00
_cell_angle_beta 90.00
_cell_angle_gamma 90.00
_space_group_name_H-M_alt 'I 41/a c d'
_space_group_IT_number 142
loop_
_space_group_symop_operation_xyz
'x,y,z'
'-x,-y,-z'
'-y+1/4,x+3/4,z+1/4'
'y+1/4,-x+3/4,-z+1/4'
'-x+1/2,-y,z+1/2'
'x+1/2,y,-z+1/2'
'y+1/4,-x+1/4,z+3/4'
'-y+1/4,x+1/4,-z+3/4'
'x,-y,-z+1/2'
'-x,y,z+1/2'
'-y+1/4,-x+1/4,-z+1/4'
'y+1/4,x+1/4,z+1/4'
'-x+1/2,y,-z'
'x+1/2,-y,z'
'y+1/4,x+3/4,-z+3/4'
'-y+1/4,-x+3/4,z+3/4'
'x+1/2,y+1/2,z+1/2'
'-x+1/2,-y+1/2,-z+1/2'
'-y+3/4,x+1/4,z+3/4'
'y+3/4,-x+1/4,-z+3/4'
'-x,-y+1/2,z'
'x,y+1/2,-z'
'y+3/4,-x+3/4,z+1/4'
'-y+3/4,x+3/4,-z+1/4'
'x+1/2,-y+1/2,-z'
'-x+1/2,y+1/2,z'
'-y+3/4,-x+3/4,-z+3/4'
'y+3/4,x+3/4,z+3/4'
'-x,y+1/2,-z+1/2'
'x,-y+1/2,z+1/2'
'y+3/4,x+1/4,-z+1/4'
'-y+3/4,-x+1/4,z+1/4'
loop_
_atom_site_label
_atom_site_type_symbol
_atom_site_fract_x
_atom_site_fract_y
_atom_site_fract_z
Zn1 Zn 0.1087 0.1249 0.3133
I1 I 0.0000 0.2500 0.0038
I2 I 0.0141 0.0049 0.8761
I3 I 0.2288 0.0000 0.2500
```


Number 1: density 19.03 g cm⁻³. Number 2: density 8.52 g cm⁻³. Number 3: density 5.47 g cm⁻³. Number 4: density 4.44 g cm⁻³.